1.
VASP calculation (PBE) on an optimized crystal structure of Li4Ta.

## Properties
As for the total energy: -27.19 eV for the cell shown. As for the energy of formation from the pure elements: 1.1827 eV per atom. For the excess energy over the best structure of this formula in the dataset, the calculation gives 0.000 eV/atom.

Structure (CIF):
```
data_Li4Ta
_chemical_formula_sum 'Li8 Ta2'
_space_group_name_H-M_alt 'I m -3 m'
_space_group_IT_number 229
_space_group_name_Hall '-I 4 2 3'
_cell_length_a 6.438
_cell_length_b 6.438
_cell_length_c 6.438
_cell_angle_alpha 90.00
_cell_angle_beta 90.00
_cell_angle_gamma 90.00
loop_
_atom_site_label
_atom_site_type_symbol
_atom_site_fract_x
_atom_site_fract_y
_atom_site_fract_z
_atom_site_occupancy
Li1 Li 0.250 0.250 0.250 1
Ta1 Ta 0.000 0.000 0.000 1
```

***

2.
VASP calculation (PBE) on an optimized crystal structure of Ni4AsBr.

## Properties
As for the total energy: -105.86 eV for the cell shown.

Structure (CIF):
```
data_Ni4AsBr
_chemical_formula_sum 'Ni16 As4 Br4'
_space_group_name_H-M_alt 'F -4 3 m'
_space_group_IT_number 216
_space_group_name_Hall 'F -4 2 3'
_cell_length_a 6.951
_cell_length_b 6.951
_cell_length_c 6.951
_cell_angle_alpha 90.00
_cell_angle_beta 90.00
_cell_angle_gamma 90.00
loop_
_atom_site_label
_atom_site_type_symbol
_atom_site_fract_x
_atom_site_fract_y
_atom_site_fract_z
_atom_site_occupancy
Ni1 Ni 0.124 0.124 0.124 1
As1 As 0.250 0.250 0.750 1
Br1 Br 0.000 0.000 0.500 1
```

***

3.
VASP calculation (PBE) on an optimized crystal structure of Pm4SmTm4.

## Properties
As for the total energy: -82.84 eV for the cell shown. As for the energy of formation from the pure elements: 0.0211 eV per atom.

Structure (CIF):
```
data_Pm4SmTm4
_chemical_formula_sum 'Pm8 Sm2 Tm8'
_space_group_name_H-M_alt 'I 4/m m m'
_space_group_IT_number 139
_space_group_name_Hall '-I 4 2'
_cell_length_a 10.743
_cell_length_b 10.743
_cell_length_c 5.033
_cell_angle_alpha 90.00
_cell_angle_beta 90.00
_cell_angle_gamma 90.00
loop_
_atom_site_label
_atom_site_type_symbol
_atom_site_fract_x
_atom_site_fract_y
_atom_site_fract_z
_atom_site_occupancy
Pm1 Pm 0.000 0.331 0.000 1
Sm1 Sm 0.000 0.000 0.000 1
Tm1 Tm 0.166 0.166 0.500 1
```